Density functional theory data (PBE) for LaZr2Zn after structural relaxation.

abc: 5.6696 5.6696 5.6696
angles: 133.47 133.47 67.92
Closest atoms and distances in Å follow each position.
Positions (direct):
La  0.2500  0.7500  0.5000  4 Zn 3.17, 8 Zr 3.25
Zn  0.7500  0.2500  0.5000  4 La 3.17, 8 Zr 3.25
Zr  0.0000  0.0000  0.0000  4 Zr 3.17, 4 La 3.25, 4 Zn 3.25
Zr  0.5000  0.5000  0.0000  4 Zr 3.17, 4 Zn 3.25, 4 La 3.25

Space-group type = I4/mmm, No. 139
Energy relative to the elements = 85 meV/atom